The following is a PBE+U calculation of Sr4La4CrNi3O15 after structural relaxation, from Alexandria via LeMat-Bulk.

As for the space group: No. 10. The calculated total energy is -0.249 Ha/atom. Its magnetization is 8.0 μB/f.u.

Lattice parameters (Å, degrees): 7.7121 3.8331 12.8438 90.00 90.18 90.00
Positions (direct):
Sr  0.0125  0.0000  0.1504
Sr  0.2451  0.5000  0.3581
Sr  0.7549  0.5000  0.6419
Sr  0.9875  0.0000  0.8496
La  0.2414  0.5000  0.6360
La  0.4823  0.0000  0.8564
La  0.5177  0.0000  0.1436
La  0.7586  0.5000  0.3640
Cr  0.5000  0.0000  0.5000
Ni  0.0000  0.0000  0.5000
Ni  0.2491  0.5000  0.0049
Ni  0.7509  0.5000  0.9951
O  0.0000  0.5000  0.5000
O  0.0225  0.0000  0.6639
O  0.2126  0.0000  0.9892
O  0.2450  0.5000  0.1663
O  0.2547  0.0000  0.4962
O  0.2727  0.5000  0.8207
O  0.4853  0.0000  0.6664
O  0.5000  0.5000  0.0000
O  0.5000  0.5000  0.5000
O  0.5147  0.0000  0.3336
O  0.7273  0.5000  0.1793
O  0.7453  0.0000  0.5038
O  0.7550  0.5000  0.8337
O  0.7874  0.0000  0.0108
O  0.9775  0.0000  0.3361